# HfCd3Ge, relaxed, DFT PBE
# total energy = -2.362 eV per atom
# ΔE to the lowest computed polymorph = 288 meV/atom
# magnetic moment = 0.000 μB per atom
# calculated formation energy = 1.101 eV per atom
data_HfCd3Ge
_cell_length_a 5.5015
_cell_length_b 5.5015
_cell_length_c 5.5015
_cell_angle_alpha 90.00
_cell_angle_beta 90.00
_cell_angle_gamma 90.00
_space_group_name_H-M_alt 'P m -3 m'
_space_group_IT_number 221
_space_group_name_Hall '-P 4 2 3'
loop_
_atom_site_label
_atom_site_fract_x
_atom_site_fract_y
_atom_site_fract_z
_atom_site_occupancy
Hf1 0.0000 0.0000 0.0000 1
Cd1 0.0000 0.0000 0.5000 1
Ge1 0.5000 0.5000 0.5000 1